Entry from Alexandria via LeMat-Bulk: a geometry-optimized LiSe4 structure (PBE).

Lattice parameters (Å, degrees): 8.061 8.061 4.174 90.00 90.00 90.00
Space group I4/m (No. 87)
One atom of each set of equivalent atoms:
Li 0.000 0.000 0.000
Se 0.176 0.716 0.000

Energy in Ry per atom: -0.2467


Entry from Alexandria via LeMat-Bulk: a geometry-optimized Li5Se4 structure (PBE).

Lattice parameters (Å, degrees): 9.029 9.029 4.089 90.00 90.00 90.00
Space group I4/mmm (No. 139)
One atom of each set of equivalent atoms:
Li 0.000 0.000 0.000
Li 0.178 0.178 0.500
Se 0.000 0.267 0.000

Energy in Ry per atom: -0.2433


Entry from Alexandria via LeMat-Bulk: a geometry-optimized LiSe4 structure (PBE).

Lattice parameters (Å, degrees): 5.961 5.961 5.961 90.00 90.00 90.00
Space group Im-3m (No. 229)
One atom of each set of equivalent atoms:
Li 0.000 0.000 0.000
Se 0.250 0.250 0.250

Energy in Ry per atom: -0.2370


Entry from Alexandria via LeMat-Bulk: a geometry-optimized LiSe2 structure (PBE).

Lattice parameters (Å, degrees): 4.262 4.262 17.251 90.00 90.00 90.00
Space group I4_1/amd (No. 141, origin choice 2)
One atom of each set of equivalent atoms:
Li 0.000 0.250 0.375
Se 0.000 0.250 0.789

Energy in Ry per atom: -0.2348


Entry from Alexandria via LeMat-Bulk: a geometry-optimized LiSe2 structure (PBE).

Lattice parameters (Å, degrees): 2.9746 2.9746 8.4711 90.00 90.00 120.00
Space group P-3m1 (No. 164)
One atom of each set of equivalent atoms:
Li 0.0000 0.0000 0.0000
Se 0.3333 0.6667 0.2431

Energy in Ry per atom: -0.2395


Entry from Alexandria via LeMat-Bulk: a geometry-optimized Li2Se structure (PBE).

Lattice parameters (Å, degrees): 7.248 4.105 4.588 90.00 97.37 90.00
Space group C2/m (No. 12)
One atom of each set of equivalent atoms:
Li 0.155 0.000 0.325
Se 0.000 0.500 0.500

Energy in Ry per atom: -0.2576


Entry from Alexandria via LeMat-Bulk: a geometry-optimized Li5Se4 structure (PBE).

Lattice parameters (Å, degrees): 8.3578 8.3578 5.6660 90.00 90.00 120.00
Space group P6_3/mcm (No. 193)
One atom of each set of equivalent atoms:
Li 0.0000 0.2514 0.2500
Li 0.3333 0.6667 0.0000
Se 0.0000 0.0000 0.0000
Se 0.0000 0.4601 0.7500

Energy in Ry per atom: -0.2612


Entry from Alexandria via LeMat-Bulk: a geometry-optimized Li2Se structure (PBE).

Lattice parameters (Å, degrees): 4.1464 4.1464 4.6180 90.00 90.00 120.00
Space group P-3m1 (No. 164)
One atom of each set of equivalent atoms:
Li 0.3333 0.6667 0.3277
Se 0.0000 0.0000 0.5000

Energy in Ry per atom: -0.2575


Sequential energy relative to the elements, uncorrected output: -0.19, -0.70, -0.05, -0.23, -0.30, -1.07, -0.94, -1.07 eV per atom
Sequential ρ output: 3.95, 3.49, 5.06, 3.50, 4.22, 2.28, 3.40, 2.24 g/cm3
Sequential volume output: 27.1, 18.5, 21.2, 26.1, 21.6, 22.6, 19.0, 22.9 Å³ per atom